# 1
{
  "formula": "SrTc2TePt",
  "functional": "PBE",
  "state": "optimized geometry",
  "lattice": [[4.875, 0.000, 0.000], [0.000, 5.964, 0.000], [0.000, 0.000, 4.875]],
  "species": ["Sr", "Tc", "Tc", "Pt", "Te"],
  "fractional_positions": [[0.000, 0.500, 0.000], [0.500, 0.000, 0.000], [0.000, 0.000, 0.500], [0.500, 0.500, 0.500], [0.000, 0.000, 0.000]],
  "e_form_raw_ev_per_atom": 1.289,
  "spacegroup": "P4/mmm"
}

# 2
{
  "formula": "InAsBr2F",
  "functional": "PBE",
  "state": "optimized geometry",
  "lattice": [[-3.219, -1.447, -4.721], [-3.632, -3.124, 3.434], [-2.218, 3.173, 0.540]],
  "species": ["F", "In", "Br", "Br", "As"],
  "fractional_positions": [[0.000, 0.000, 0.000], [0.500, 0.500, 0.500], [0.000, 0.500, 0.000], [0.500, 0.000, 0.000], [0.000, 0.000, 0.500]],
  "de_polymorph_kj_per_mol_atoms": 0.00,
  "e_form_raw_ev_per_atom": -0.351,
  "spacegroup": "P4/mmm"
}

# 3
{
  "formula": "Tb2Er3Cu2",
  "functional": "PBE",
  "state": "optimized geometry",
  "lattice": [[3.594, 0.000, 0.000], [-1.797, 6.203, -0.480], [0.000, -3.464, 8.285]],
  "species": ["Tb", "Tb", "Er", "Er", "Er", "Cu", "Cu"],
  "fractional_positions": [[0.155, 0.311, 0.813], [0.845, 0.689, 0.187], [0.386, 0.771, 0.556], [0.614, 0.229, 0.444], [0.500, 0.000, 0.000], [0.169, 0.338, 0.231], [0.831, 0.662, 0.769]],
  "ef_ev_per_fu": -0.89,
  "spacegroup": "C2/m"
}

# 4
{
  "formula": "PmMnH3",
  "functional": "PBE",
  "state": "optimized geometry",
  "lattice": [[3.637, 0.000, 0.000], [0.000, 3.637, 0.000], [0.000, 0.000, 3.637]],
  "species": ["H", "H", "H", "Pm", "Mn"],
  "fractional_positions": [[0.500, 0.000, 0.000], [0.000, 0.500, 0.000], [0.000, 0.000, 0.500], [0.500, 0.500, 0.500], [0.000, 0.000, 0.000]],
  "spacegroup": "Pm-3m"
}

# 5
{
  "formula": "GaTe3Pb",
  "functional": "PBE",
  "state": "optimized geometry",
  "lattice": [[-4.775, -4.705, 0.332], [0.175, -0.890, -10.104], [6.752, -6.463, 5.501]],
  "species": ["Te", "Te", "Te", "Te", "Te", "Te", "Te", "Te", "Te", "Te", "Te", "Te", "Ga", "Ga", "Ga", "Ga", "Pb", "Pb", "Pb", "Pb"],
  "fractional_positions": [[0.301, 0.094, 0.710], [0.119, 0.834, 0.021], [0.699, 0.906, 0.290], [0.619, 0.666, 0.479], [0.199, 0.594, 0.210], [0.381, 0.334, 0.521], [0.881, 0.166, 0.979], [0.484, 0.218, 0.145], [0.016, 0.718, 0.645], [0.984, 0.282, 0.355], [0.516, 0.782, 0.855], [0.801, 0.406, 0.790], [0.233, 0.535, 0.431], [0.733, 0.965, 0.069], [0.767, 0.465, 0.569], [0.267, 0.035, 0.931], [0.732, 0.563, 0.169], [0.268, 0.437, 0.831], [0.232, 0.937, 0.331], [0.768, 0.063, 0.669]],
  "de_polymorph_kj_per_mol_atoms": 0.00,
  "e_form_raw_ev_per_atom": -0.154,
  "spacegroup": "P2_1/c"
}

# 6
{
  "formula": "CePmTm2",
  "functional": "PBE",
  "state": "optimized geometry",
  "lattice": [[3.533, 0.000, 0.000], [1.766, 3.059, 0.000], [1.766, 1.020, 11.411]],
  "species": ["Tm", "Tm", "Pm", "Ce"],
  "fractional_positions": [[0.081, 0.081, 0.757], [0.252, 0.252, 0.244], [0.501, 0.501, 0.498], [0.666, 0.666, 0.001]],
  "de_polymorph_kj_per_mol_atoms": 0.00,
  "ef_ev_per_fu": 0.20,
  "spacegroup": "R3m"
}

| no. | DFT total energy (eV/atom) |
| --- | --- |
| 1 | -5.03 |
| 2 | -2.87 |
| 3 | -4.58 |
| 4 | -5.12 |
| 5 | -3.39 |
| 6 | -4.86 |